First-principles (PBE-GGA) data for TaWS2 after structural relaxation, as listed in the Alexandria database.

Output
Magnetization (μB per formula unit): 0.00
Energy above the lowest structure with this stoichiometry (eV per atom): 0.000
Volume (Å³ per atom): 16.789
Crystal system: trigonal
Total DFT energy (no corrections) (eV/atom): -8.5131
Formation energy from raw total energies (meV per atom): -248

Cell lengths 8.4153, 8.4153, 8.4153 Å; angles 21.02, 21.02, 21.02 degrees
Fractional coordinates of all 4 atoms:
S (0.9034, 0.9034, 0.9034)
S (0.0966, 0.0966, 0.0966)
W (0.0000, 0.0000, 0.0000)
Ta (0.5000, 0.5000, 0.5000)

=====

First-principles (PBE-GGA) data for GdBeRh2 after structural relaxation, as listed in the Alexandria database.

Output
E_form (eV/f.u.): -2.0
Magnetization (μB per formula unit): 7.11
Volume (Å³ per atom): 16.866
Crystal system: trigonal
Total DFT energy (no corrections) (eV/atom): -8.6302

Cell lengths 3.9525, 3.9525, 5.4839 Å; angles 68.88, 68.88, 60.00 degrees
Fractional coordinates of all 4 atoms:
Be (0.5000, 0.5000, 0.5000)
Gd (0.0000, 0.0000, 0.0000)
Rh (0.7853, 0.7853, 0.6440)
Rh (0.2147, 0.2147, 0.3560)

=====

First-principles (PBE-GGA) data for BaHfAsSe2 after structural relaxation, as listed in the Alexandria database.

Output
Magnetization (μB per formula unit): 0.00
Energy above the lowest structure with this stoichiometry (eV per atom): 2.198
Volume (Å³ per atom): 36.290
Crystal system: tetragonal
Total DFT energy (no corrections) (eV/atom): -3.7197
Formation energy from raw total energies (meV per atom): 979

Cell lengths 5.7089, 5.7089, 5.5673 Å; angles 90.00, 90.00, 90.00 degrees
Fractional coordinates of all 5 atoms:
As (0.0000, 0.0000, 0.5000)
Hf (0.5000, 0.5000, 0.5000)
Ba (0.0000, 0.0000, 0.0000)
Se (0.0000, 0.5000, 0.0000)
Se (0.5000, 0.0000, 0.0000)